PBE-GGA Sm5Er2In4, relaxed; ΔE to the lowest computed polymorph = 0.5943 eV/atom; D(E_F) = 14.7 states/eV/cell; formation enthalpy at 0 K = 0.319 eV per atom; uncorrected energy = -3.651 eV per atom
1.0
-3.0093 -1.7263 -0.0211
1.4419 -2.4125 -8.2554
7.5518 -9.7855 8.7847
Sm Er In
5 2 4
Cartesian
2.9980 -5.2288 0.2277
2.9865 -8.6955 0.2804
2.4270 -4.2735 3.4966
-1.5046 -0.8632 -0.0106
3.5574 -9.6507 -2.9885
1.3008 -2.2784 0.8930
4.6837 -11.6459 -0.3848
1.8973 -6.7653 -2.2977
0.4671 -0.7815 -2.6742
4.0872 -7.1589 2.8059
0.9748 -1.6310 -5.5812